w | RbMgAs3: optimized geometry, GGA-PBE.

Values from the calculation:
DOS(E_F), states/eV/cell: 5.6
Theoretical density, g cm⁻³: 3.2
Space group: Pm-3m

Cell: 5.5806 5.5806 5.5806 Å, 90.00 90.00 90.00°
Fractional positions:
As  0.0000  0.5000  0.0000
As  0.0000  0.0000  0.5000
As  0.5000  0.0000  0.0000
Mg  0.5000  0.5000  0.5000
Rb  0.0000  0.0000  0.0000

=====

x | RbMgAs3: optimized geometry, GGA-PBE.

Values from the calculation:
DOS(E_F), states/eV/cell: 2.7
Theoretical density, g cm⁻³: 4.0
Space group: Pm-3m

Cell: 5.1800 5.1800 5.1800 Å, 90.00 90.00 90.00°
Fractional positions:
As  0.0000  0.5000  0.0000
As  0.0000  0.0000  0.5000
As  0.5000  0.0000  0.0000
Mg  0.0000  0.0000  0.0000
Rb  0.5000  0.5000  0.5000

=====

The least stable of them is w.